Entry 1:
VASP calculation (GGA-PBEsol) on a geometry-optimized BaSr2 structure.

Geometry as POSCAR:
```
BaSr2
1.0
4.090 0.000 0.000
0.000 4.090 0.000
-2.045 -2.045 19.888
Sr Ba
4 2
direct
0.419 0.419 0.839
0.831 0.331 0.661
0.581 0.581 0.161
0.669 0.169 0.339
0.000 0.000 0.000
0.250 0.750 0.500
```

formation enthalpy at 0 K = 0.09 eV/atom
excess energy over the best structure of this formula in the dataset = 88 meV/atom
symmetry = I4_1/amd, No. 141

***

Entry 2:
VASP calculation (GGA-PBEsol) on a geometry-optimized TaPNO2 structure.

Geometry as POSCAR:
```
TaPNO2
1.0
3.768 0.000 0.000
0.000 3.768 0.000
0.000 0.000 5.338
P N O Ta
1 1 2 1
direct
0.000 0.000 0.500
0.500 0.500 0.500
0.000 0.500 0.000
0.500 0.000 0.000
0.000 0.000 0.000
```

E_form (uncorrected) = -1.89 eV per formula unit
symmetry = P4/mmm, No. 123

***

Entry 3:
VASP calculation (GGA-PBEsol) on a geometry-optimized Cr4OsPt structure.

Geometry as POSCAR:
```
Cr4OsPt
1.0
4.682 0.000 0.000
2.341 4.055 0.000
2.341 1.352 3.823
Cr Os Pt
4 1 1
direct
0.373 0.373 0.373
0.373 0.373 0.880
0.880 0.373 0.373
0.373 0.880 0.373
0.750 0.750 0.750
0.000 0.000 0.000
```

formation enthalpy at 0 K = -0.05 eV/atom
symmetry = F-43m, No. 216

***

Entry 4:
VASP calculation (GGA-PBEsol) on a geometry-optimized K2AgW structure.

Geometry as POSCAR:
```
K2AgW
1.0
2.843 -0.034 0.000
-1.004 2.660 0.000
0.000 0.000 11.655
Ag K W
1 2 1
direct
0.500 0.500 0.000
0.000 0.000 0.246
0.000 0.000 0.754
0.500 0.500 0.500
```

formation enthalpy at 0 K = 1.11 eV/atom
excess energy over the best structure of this formula in the dataset = 0 meV/atom
symmetry = Cmmm, No. 65

***

Entry 5:
VASP calculation (GGA-PBEsol) on a geometry-optimized AlHgW2 structure.

Geometry as POSCAR:
```
AlHgW2
1.0
-1.456 -2.097 1.062
2.654 -2.673 -1.640
3.244 0.222 4.889
Hg W Al
1 2 1
direct
0.500 0.500 0.741
0.000 0.000 0.028
0.500 0.500 0.242
0.000 0.000 0.489
```

formation enthalpy at 0 K = 0.49 eV/atom
excess energy over the best structure of this formula in the dataset = 104 meV/atom
symmetry = Pmm2, No. 25

***

Entry 6:
VASP calculation (GGA-PBEsol) on a geometry-optimized ZnCrCo structure.

Geometry as POSCAR:
```
ZnCrCo
1.0
3.861 0.000 0.000
1.931 3.344 0.000
1.931 1.115 3.153
Co Cr Zn
1 1 1
direct
0.500 0.500 0.500
0.250 0.250 0.250
0.000 0.000 0.000
```

formation enthalpy at 0 K = 0.77 eV/atom
excess energy over the best structure of this formula in the dataset = 613 meV/atom
symmetry = F-43m, No. 216

***

Entry 7:
VASP calculation (GGA-PBEsol) on a geometry-optimized LiCoSb2 structure.

Geometry as POSCAR:
```
LiCoSb2
1.0
3.525 0.000 0.000
0.000 4.426 0.000
0.000 0.000 4.429
Sb Co Li
2 1 1
direct
0.000 0.000 0.000
0.000 0.500 0.500
0.500 0.500 0.000
0.500 0.000 0.500
```

excess energy over the best structure of this formula in the dataset = 181 meV/atom
E_form (uncorrected) = 0.14 eV per formula unit
symmetry = P4/mmm, No. 123

***

Entry 8:
VASP calculation (GGA-PBEsol) on a geometry-optimized SrMg2FeH8 structure.

Geometry as POSCAR:
```
SrMg2FeH8
1.0
4.443 0.000 0.000
-2.222 3.848 0.000
0.000 0.000 6.467
Sr Mg Fe H
1 2 1 8
direct
0.000 0.000 0.500
0.333 0.667 0.124
0.667 0.333 0.876
0.000 0.000 0.000
0.677 0.839 0.854
0.161 0.839 0.854
0.161 0.323 0.854
0.323 0.161 0.146
0.839 0.161 0.146
0.839 0.677 0.146
0.333 0.667 0.420
0.667 0.333 0.580
```

total DFT energy (no corrections) = -3.806 eV per atom
symmetry = P-3m1, No. 164

***

no.,total moment (μB/f.u.)
1,0.000
2,1.012
3,0.000
4,0.000
5,0.000
6,0.904
7,0.001
8,0.077